A relaxed structure of TaCd2P, computed with PBE.

```
TaCd2P
1.0
-0.405 7.423 2.762
-6.341 -1.962 4.340
-1.849 2.093 5.489
Cd P Ta
4 2 2
Cartesian
-7.021 6.431 10.147
-1.491 4.602 3.524
-4.493 0.540 4.547
-4.186 3.534 6.964
-3.373 2.730 3.551
-5.781 1.431 6.690
-2.814 6.123 5.901
0.000 0.000 0.000
```

Summary:
Final energy, eV/f.u.: -17.31
Space group: I-42d (122)
Formation enthalpy at 0 K, eV/atom: 0.4447
V, Å³/cell: 160.1
Magnetization, μB/atom: 0.000